{"formula": "CrSiN2O", "functional": "PBE+U", "state": "relaxed", "cell": [[3.6900, 0.0000, 0.0000], [0.0000, 3.6900, 0.0000], [0.0000, 0.0000, 3.8737]], "species": ["Cr", "Si", "O", "N", "N"], "frac_coords": [[0.0000, 0.0000, 0.0000], [0.5000, 0.5000, 0.5000], [0.0000, 0.0000, 0.5000], [0.0000, 0.5000, 0.0000], [0.5000, 0.0000, 0.0000]], "energy_ev_per_atom": -6.158, "volume_a3_per_cell": 53}